{
  "formula": "HfTl2TcI",
  "functional": "PBE",
  "state": "relaxed",
  "lattice": [[5.839, 0.000, 0.000], [0.000, 5.839, 0.000], [0.000, 0.000, 4.835]],
  "species": ["Hf", "Tl", "Tl", "Tc", "I"],
  "fractional_positions": [[0.000, 0.000, 0.000], [0.000, 0.500, 0.500], [0.500, 0.000, 0.500], [0.500, 0.500, 0.000], [0.500, 0.500, 0.500]],
  "raw_formation_energy_ev_per_atom": 1.696
}